{"formula": "BeZnHPd2", "functional": "PBE", "state": "relaxed", "final_energy_ev_per_atom": -3.681, "vol_a3_per_atom": 12.06, "mass_density_g_cm3": 7.9, "space_group": "P4/mmm (123)", "lattice": [[4.6109, 0.0000, 0.0000], [0.0000, 2.8363, 0.0000], [0.0000, 0.0000, 4.6109]], "species": ["Pd", "Pd", "Be", "Zn", "H"], "frac_coords": [[0.5000, 0.0000, 0.0000], [0.0000, 0.0000, 0.5000], [0.0000, 0.0000, 0.0000], [0.5000, 0.5000, 0.5000], [0.0000, 0.5000, 0.0000]]}